1.
Hf2CrSiOs after structural relaxation. Source: the Alexandria database, functional PBE-GGA.

Cell lengths 4.8519, 4.8519, 4.2445 Å; angles 90.00, 90.00, 90.00 degrees
Fractional coordinates of all 5 atoms:
Hf: 0.0000 0.5000 0.0000
Hf: 0.5000 0.0000 0.0000
Cr: 0.0000 0.0000 0.5000
Si: 0.5000 0.5000 0.0000
Os: 0.5000 0.5000 0.5000

Properties
- formation energy from raw total energies (kcal/mol of atoms) = 19.8
- mass density (g/cm3) = 10.4
- space-group type = P4/mmm (123)

***

2.
Hf2TaCrOs after structural relaxation. Source: the Alexandria database, functional PBE-GGA.

Cell lengths 5.0306, 5.0306, 4.2328 Å; angles 90.00, 90.00, 90.00 degrees
Fractional coordinates of all 5 atoms:
Hf: 0.0000 0.5000 0.0000
Hf: 0.5000 0.0000 0.0000
Ta: 0.0000 0.0000 0.0000
Cr: 0.0000 0.0000 0.5000
Os: 0.5000 0.5000 0.5000

Properties
- mass density (g/cm3) = 12.1
- DFT formation energy (meV/atom) = 1665.7
- space-group type = P4/mmm (123)

***

3.
HfZrCr2Os after structural relaxation. Source: the Alexandria database, functional PBE-GGA.

Cell lengths 4.5680, 4.5680, 4.8823 Å; angles 90.00, 90.00, 90.00 degrees
Fractional coordinates of all 5 atoms:
Hf: 0.0000 0.0000 0.0000
Zr: 0.5000 0.5000 0.5000
Cr: 0.0000 0.5000 0.5000
Cr: 0.5000 0.0000 0.5000
Os: 0.5000 0.5000 0.0000

Properties
- mass density (g/cm3) = 9.2
- DFT formation energy (meV/atom) = 1483.0
- space-group type = P4/mmm (123)